Below is a relaxed structure of Ho6In3Ru, with properties calculated at the PBE-GGA level.

Computed properties:
* uncorrected energy: -48.33 eV/f.u.
* formation energy: -0.337 eV per atom
* magnetization: 0.00 Bohr magnetons per cell
* polymorph energy (0 for the lowest one): 39 meV/atom

Cell and atoms, written as extended XYZ:
```
20
Lattice="5.157 0.000 0.005 0.000 9.007 0.000 -0.014 0.000 11.548" Properties=species:S:1:pos:R:3 pbc="T T T"
Ho 2.567 1.391 10.607
Ho 2.571 1.732 6.783
Ho 2.576 4.387 3.053
Ho 2.566 4.620 8.500
Ho 2.571 7.275 4.770
Ho 2.575 7.616 0.946
Ho -0.004 3.113 4.831
Ho 0.000 2.771 1.006
Ho -0.009 0.117 8.825
Ho 5.151 8.890 2.728
Ho 5.143 6.236 10.547
Ho 5.146 5.894 6.722
In 2.570 7.623 8.347
In 2.578 4.503 0.003
In 2.573 1.384 3.206
In -0.002 5.887 2.571
In -0.007 0.000 5.774
In 5.144 3.120 8.982
Ru 2.571 4.503 5.777
Ru 0.000 0.000 0.000
```



Below is a relaxed structure of Ho4InRu2, with properties calculated at the PBE-GGA level.

Computed properties:
* uncorrected energy: -41.77 eV/f.u.
* formation energy: -0.310 eV per atom
* magnetization: 0.00 Bohr magnetons per cell
* polymorph energy (0 for the lowest one): 65 meV/atom

Cell and atoms, written as extended XYZ:
```
7
Lattice="4.864 0.000 0.000 0.000 4.864 0.000 0.000 0.000 7.047" Properties=species:S:1:pos:R:3 pbc="T T T"
Ho 2.432 0.000 1.852
Ho 0.000 2.432 5.195
Ho 2.432 0.000 5.195
Ho 0.000 2.432 1.852
In 2.432 2.432 0.000
Ru 0.000 0.000 0.000
Ru 2.432 2.432 3.524
```



Below is a relaxed structure of HoInRu, with properties calculated at the PBE-GGA level.

Computed properties:
* uncorrected energy: -17.20 eV/f.u.
* formation energy: -0.202 eV per atom
* magnetization: 0.00 Bohr magnetons per cell

Cell and atoms, written as extended XYZ:
```
3
Lattice="-2.738 -1.275 -3.520 -2.677 -3.768 0.391 -4.603 0.452 0.360" Properties=species:S:1:pos:R:3 pbc="T T T"
Ru -2.504 -1.148 -0.692
Ho 0.000 0.000 0.000
In -5.009 -2.296 -1.384
```



Below is a relaxed structure of Ho2In2Ru, with properties calculated at the PBE-GGA level.

Computed properties:
* uncorrected energy: -25.80 eV/f.u.
* formation energy: -0.379 eV per atom
* magnetization: 0.00 Bohr magnetons per cell

Cell and atoms, written as extended XYZ:
```
5
Lattice="3.351 0.000 -0.538 -0.086 3.350 -0.538 -0.030 -0.031 10.525" Properties=species:S:1:pos:R:3 pbc="T T T"
Ho 1.892 1.941 1.081
Ho 1.343 1.378 8.369
In 2.599 2.667 5.487
In 0.636 0.652 3.963
Ru 0.000 0.000 0.000
```



Below is a relaxed structure of Ho5In2Ru, with properties calculated at the PBE-GGA level.

Computed properties:
* uncorrected energy: -39.56 eV/f.u.
* formation energy: -0.239 eV per atom
* magnetization: 0.00 Bohr magnetons per cell
* polymorph energy (0 for the lowest one): 150 meV/atom

Cell and atoms, written as extended XYZ:
```
8
Lattice="7.021 0.002 0.000 0.003 7.021 0.000 -3.512 -3.512 4.409" Properties=species:S:1:pos:R:3 pbc="T T T"
Ho 1.719 -1.718 4.308
Ho -1.720 -1.721 4.310
Ho 1.721 1.721 4.310
Ho -1.718 1.719 4.308
Ho 3.512 3.512 2.316
In 0.001 3.511 2.039
In 3.511 0.001 2.039
Ru 0.000 0.000 0.855
```



Below is a relaxed structure of Ho5In2Ru2, with properties calculated at the PBE-GGA level.

Computed properties:
* uncorrected energy: -50.41 eV/f.u.
* formation energy: -0.388 eV per atom
* magnetization: 0.00 Bohr magnetons per cell

Cell and atoms, written as extended XYZ:
```
18
Lattice="7.517 0.000 0.000 0.000 7.432 0.000 0.000 -3.716 8.205" Properties=species:S:1:pos:R:3 pbc="T T T"
Ho 0.000 0.000 0.000
Ho 3.759 3.716 0.000
Ho 6.211 5.020 1.913
Ho 1.306 2.413 1.913
Ho 2.452 6.129 1.913
Ho 5.065 1.304 1.913
Ho 1.306 -1.304 6.291
Ho 6.211 1.304 6.291
Ho 5.065 -2.413 6.291
Ho 2.452 2.413 6.291
In 0.000 0.000 3.652
In 3.759 3.716 3.652
In 0.000 3.716 4.552
In 3.759 0.000 4.552
Ru 4.724 6.507 0.000
Ru 2.793 0.925 0.000
Ru 0.966 4.641 0.000
Ru 6.552 2.791 0.000
```



Below is a relaxed structure of HoIn3Ru, with properties calculated at the PBE-GGA level.

Computed properties:
* uncorrected energy: -23.59 eV/f.u.
* formation energy: -0.304 eV per atom
* magnetization: 0.00 Bohr magnetons per cell
* polymorph energy (0 for the lowest one): 0 meV/atom

Cell and atoms, written as extended XYZ:
```
15
Lattice="-0.957 -5.133 -4.446 6.646 -1.631 0.452 -1.396 -4.245 5.202" Properties=species:S:1:pos:R:3 pbc="T T T"
Ho 2.625 -2.938 2.827
Ho -1.177 -4.689 0.378
Ho 2.844 -3.382 -1.997
In 2.146 -5.505 0.604
In 0.944 -2.422 0.266
In 4.130 -6.211 -1.971
In -0.374 -7.675 0.690
In 3.884 -5.713 3.433
In 0.162 -4.799 3.180
In 3.348 -8.588 0.943
In 4.666 -3.335 0.519
In 0.408 -5.297 -2.224
Ru -0.479 -2.567 -2.223
Ru 3.323 -0.816 0.226
Ru -0.698 -2.123 2.601
```



Below is a relaxed structure of Ho11In9Ru4, with properties calculated at the PBE-GGA level.

Computed properties:
* uncorrected energy: -123.76 eV/f.u.
* formation energy: -0.486 eV per atom
* magnetization: 0.00 Bohr magnetons per cell

Cell and atoms, written as extended XYZ:
```
24
Lattice="3.742 0.000 0.000 0.000 11.931 -5.057 0.000 0.038 12.958" Properties=species:S:1:pos:R:3 pbc="T T T"
Ho 0.000 6.981 8.913
Ho 0.000 4.988 -1.011
Ho 0.000 10.939 2.917
Ho 0.000 1.030 4.984
Ho 0.000 7.528 1.613
Ho 0.000 4.442 6.288
Ho 0.000 10.007 -2.143
Ho 0.000 1.962 10.044
Ho 0.000 0.000 0.000
Ho 0.000 8.261 5.453
Ho 0.000 3.708 2.448
In 1.871 7.539 -1.221
In 1.871 4.430 9.122
In 1.871 1.840 7.412
In 1.871 10.129 0.489
In 1.871 9.361 8.051
In 1.871 2.608 -0.150
In 1.871 11.082 5.444
In 1.871 0.887 2.458
In 1.871 5.985 3.951
Ru 1.871 6.552 6.868
Ru 1.871 5.417 1.034
Ru 1.871 8.890 3.326
Ru 1.871 3.079 4.575
```



Below is a relaxed structure of Ho6In3Ru, with properties calculated at the PBE-GGA level.

Computed properties:
* uncorrected energy: -48.72 eV/f.u.
* formation energy: -0.376 eV per atom
* magnetization: 0.00 Bohr magnetons per cell
* polymorph energy (0 for the lowest one): 0 meV/atom

Cell and atoms, written as extended XYZ:
```
20
Lattice="5.249 0.000 0.000 0.000 8.759 -2.830 0.000 0.065 11.287" Properties=species:S:1:pos:R:3 pbc="T T T"
Ho 1.312 4.003 -0.348
Ho 3.937 4.821 8.806
Ho 1.312 1.102 1.425
Ho 3.937 7.722 7.032
Ho 1.312 6.121 5.570
Ho 3.937 2.703 2.887
Ho 1.312 1.921 4.985
Ho 3.937 6.902 3.472
Ho 1.312 7.468 1.312
Ho 3.937 1.356 7.146
Ho 1.312 0.979 9.320
Ho 3.937 7.845 -0.863
In 1.312 4.500 2.849
In 3.937 4.324 5.608
In 1.312 3.609 7.660
In 3.937 5.214 0.797
In 1.312 6.855 8.830
In 3.937 1.969 -0.373
Ru 1.312 8.467 3.982
Ru 3.937 0.357 4.475
```



Below is a relaxed structure of Ho8InRu2, with properties calculated at the PBE-GGA level.

Computed properties:
* uncorrected energy: -60.71 eV/f.u.
* formation energy: -0.254 eV per atom
* magnetization: 0.00 Bohr magnetons per cell
* polymorph energy (0 for the lowest one): 8 meV/atom

Cell and atoms, written as extended XYZ:
```
11
Lattice="5.046 0.065 -1.511 -0.894 6.268 -2.709 -0.040 0.125 9.045" Properties=species:S:1:pos:R:3 pbc="T T T"
Ho 2.926 1.898 6.504
Ho 4.843 0.225 3.659
Ho 1.218 2.259 0.825
Ho 2.929 5.866 -2.481
Ho 0.975 5.438 0.159
Ho 4.258 2.849 1.822
Ho 0.167 3.553 6.538
Ho 2.003 4.553 3.541
In -0.224 6.270 5.358
Ru 3.505 3.986 -0.629
Ru 2.068 1.853 3.660
```



Below is a relaxed structure of HoScInRu, with properties calculated at the PBE-GGA level.

Computed properties:
* uncorrected energy: -24.41 eV/f.u.
* formation energy: -0.370 eV per atom
* magnetization: 0.00 Bohr magnetons per cell
* polymorph energy (0 for the lowest one): 154 meV/atom

Cell and atoms, written as extended XYZ:
```
4
Lattice="4.913 0.000 0.000 2.456 4.255 0.000 2.456 1.418 4.011" Properties=species:S:1:pos:R:3 pbc="T T T"
Sc 0.000 0.000 0.000
Ru 2.456 1.418 1.003
Ho 4.913 2.836 2.006
In 7.369 4.255 3.009
```



Below is a relaxed structure of HoScInRu, with properties calculated at the PBE-GGA level.

Computed properties:
* uncorrected energy: -25.02 eV/f.u.
* formation energy: -0.525 eV per atom
* magnetization: 0.00 Bohr magnetons per cell
* polymorph energy (0 for the lowest one): 0 meV/atom

Cell and atoms, written as extended XYZ:
```
4
Lattice="-2.445 0.005 -2.306 -1.730 -2.227 1.830 -3.420 5.646 3.637" Properties=species:S:1:pos:R:3 pbc="T T T"
Ho -4.762 3.304 2.606
Sc -3.320 0.923 1.072
In -0.312 0.516 0.332
Ru -1.885 3.112 2.004
```